(1)
Compound: Li4Fe3Sn3Sb2O16
Source: the Alexandria database
Functional: GGA-PBEsol
Structure: optimized geometry

```
Li4Fe3Sn3Sb2O16
1.0
5.264 -3.052 0.000
5.264 3.052 0.000
-0.088 0.000 9.828
Li Fe Sn Sb O
4 3 3 2 16
direct
0.000 0.000 0.000
0.007 0.007 0.483
0.354 0.354 0.580
0.692 0.692 0.084
0.206 0.672 0.268
0.672 0.206 0.268
0.846 0.846 0.767
0.191 0.191 0.272
0.350 0.848 0.768
0.848 0.350 0.768
0.358 0.358 0.996
0.696 0.696 0.490
0.007 0.007 0.667
0.020 0.020 0.183
0.059 0.505 0.139
0.155 0.709 0.880
0.175 0.175 0.890
0.352 0.856 0.393
0.354 0.354 0.383
0.505 0.059 0.139
0.508 0.508 0.134
0.534 0.534 0.635
0.553 0.979 0.649
0.691 0.691 0.874
0.709 0.155 0.880
0.854 0.854 0.383
0.856 0.352 0.393
0.979 0.553 0.649
```

**Formation energy from raw total energies**: -149.3 kJ/mol of atoms
**Symmetry**: Cm, No. 8


(2)
Compound: LiSb2Ru
Source: the Alexandria database
Functional: GGA-PBEsol
Structure: optimized geometry

```
LiSb2Ru
1.0
4.596 0.000 0.000
0.000 4.596 0.000
0.000 0.000 3.359
Li Sb Ru
1 2 1
direct
0.000 0.000 0.000
0.000 0.500 0.500
0.500 0.000 0.500
0.500 0.500 0.000
```

**Formation energy from raw total energies**: -0.5 kJ/mol of atoms
**Symmetry**: P4/mmm, No. 123


(3)
Compound: NaFeH2
Source: the Alexandria database
Functional: GGA-PBEsol
Structure: optimized geometry

```
NaFeH2
1.0
4.922 0.000 0.000
0.000 4.922 0.000
0.000 0.000 6.440
Na Fe H
4 4 8
direct
0.000 0.000 0.000
0.000 0.500 0.250
0.500 0.000 0.750
0.500 0.500 0.500
0.000 0.000 0.500
0.000 0.500 0.750
0.500 0.000 0.250
0.500 0.500 0.000
0.161 0.250 0.625
0.250 0.661 0.875
0.250 0.839 0.375
0.339 0.250 0.125
0.661 0.750 0.125
0.750 0.161 0.375
0.750 0.339 0.875
0.839 0.750 0.625
```

**Final energy**: -4.08 eV/atom
**Symmetry**: I-42d, No. 122


(4)
Compound: ZrHgP2
Source: the Alexandria database
Functional: GGA-PBEsol
Structure: optimized geometry

```
ZrHgP2
1.0
3.781 0.000 0.000
0.000 3.781 0.000
0.000 0.000 9.781
Zr Hg P
2 2 4
direct
0.000 0.000 0.000
0.500 0.500 0.500
0.000 0.500 0.250
0.500 0.000 0.750
0.000 0.000 0.500
0.000 0.500 0.750
0.500 0.000 0.250
0.500 0.500 0.000
```

**Symmetry**: I-4m2, No. 119
**Energy of formation from the pure elements**: -0.319 eV/atom


(5)
Compound: Ca5Au3
Source: the Alexandria database
Functional: GGA-PBEsol
Structure: optimized geometry

```
Ca5Au3
1.0
8.767 0.000 0.000
-4.384 7.593 0.000
0.000 0.000 6.405
Ca Au
10 6
direct
0.000 0.260 0.250
0.000 0.740 0.750
0.260 0.000 0.250
0.260 0.260 0.750
0.333 0.667 0.000
0.333 0.667 0.500
0.667 0.333 0.000
0.667 0.333 0.500
0.740 0.000 0.750
0.740 0.740 0.250
0.000 0.390 0.750
0.000 0.610 0.250
0.390 0.000 0.750
0.390 0.390 0.250
0.610 0.000 0.250
0.610 0.610 0.750
```

**Symmetry**: P6_3/mcm, No. 193
**Energy above the most stable polymorph in this dataset**: 23.6 meV per atom
**Energy of formation from the pure elements**: -0.634 eV/atom


(6)
Compound: CoAgSe
Source: the Alexandria database
Functional: GGA-PBEsol
Structure: optimized geometry

```
CoAgSe
1.0
2.906 0.000 0.000
0.000 2.906 0.000
0.000 0.000 10.944
Co Ag Se
2 2 2
direct
0.000 0.000 0.000
0.500 0.500 0.500
0.000 0.000 0.328
0.500 0.500 0.828
0.000 0.000 0.604
0.500 0.500 0.104
```

**Formation energy from raw total energies**: 10.0 kJ/mol of atoms
**Symmetry**: I4mm, No. 107
**Energy above the most stable polymorph in this dataset**: 0.0 meV per atom


Number 1: ρ 5.5 Mg/m³. Number 2: ρ 8.2 Mg/m³. Number 3: ρ 3.4 Mg/m³. Number 4: ρ 8.4 Mg/m³. Number 5: ρ 6.2 Mg/m³. Number 6: ρ 8.8 Mg/m³.